--- one ---
Here is a relaxed SrZrIn crystal from the Alexandria database. Energies are from PBE.

Cell: 13.6475 13.6475 13.6475 Å, 164.17 164.17 22.46°
Atoms (fractional coordinates):
Sr 0.0751 0.0751 0.0000
Sr 0.9249 0.9249 0.0000
Zr 0.2187 0.2187 0.0000
Zr 0.7813 0.7813 0.0000
In 0.3402 0.3402 0.0000
In 0.6597 0.6597 0.0000

Summary:
The symmetry is No. 139. The calculation puts the magnetization at 0.0000 μB per atom. As for the crystal system: tetragonal. The calculation puts the density at 5.158 Mg/m³.



--- two ---
Here is a relaxed SrZrIn crystal from the Alexandria database. Energies are from PBE.

Cell: 5.2631 5.2631 5.2631 Å, 60.00 60.00 60.00°
Atoms (fractional coordinates):
Sr 0.0000 0.0000 0.0000
Zr 0.2500 0.2500 0.2500
In 0.7500 0.7500 0.7500

Summary:
The symmetry is No. 216. The calculation puts the magnetization at 0.4207 μB per atom. As for the crystal system: cubic. The calculation puts the density at 4.730 Mg/m³.



--- three ---
Here is a relaxed SrZrIn crystal from the Alexandria database. Energies are from PBE.

Cell: 5.2951 5.2951 3.6471 Å, 90.00 90.00 120.00°
Atoms (fractional coordinates):
Sr 0.0000 0.0000 0.0000
Zr 0.6667 0.3333 0.5041
In 0.3333 0.6667 0.4938

Summary:
The symmetry is No. 156. The calculation puts the magnetization at 0.0000 μB per atom. As for the crystal system: trigonal. The calculation puts the density at 5.506 Mg/m³.



--- four ---
Here is a relaxed SrZrIn crystal from the Alexandria database. Energies are from PBE.

Cell: 7.7561 7.7561 7.7561 Å, 154.49 154.49 36.39°
Atoms (fractional coordinates):
Sr 0.0000 0.0000 0.0000
Zr 0.6943 0.6943 0.0000
In 0.3264 0.3264 0.0000

Summary:
The symmetry is No. 107. The calculation puts the magnetization at 0.0000 μB per atom. As for the crystal system: tetragonal. The calculation puts the density at 5.640 Mg/m³.



Result of the stability comparison: two is the least stable of them.



--- one ---
Here is a relaxed SrZrIn crystal from the Alexandria database. Energies are from PBE.

Cell: 5.2315 5.2315 5.2315 Å, 60.00 60.00 60.00°
Atoms (fractional coordinates):
Sr 0.0000 0.0000 0.0000
Zr 0.5000 0.5000 0.5000
In 0.7500 0.7500 0.7500

Summary:
The symmetry is No. 216. The calculation puts the magnetization at 0.2757 μB per atom. As for the crystal system: cubic. The calculation puts the density at 4.816 Mg/m³.



--- two ---
Here is a relaxed SrZrIn crystal from the Alexandria database. Energies are from PBE.

Cell: 6.6935 6.6935 6.6935 Å, 150.88 141.75 48.79°
Atoms (fractional coordinates):
Sr 0.0000 0.0000 0.0000
Zr 0.7110 0.7110 0.0000
In 0.3131 0.3131 0.0000

Summary:
The symmetry is No. 44. The calculation puts the magnetization at 0.0013 μB per atom. As for the crystal system: orthorhombic. The calculation puts the density at 5.419 Mg/m³.



Result of the stability comparison: one is the least stable of them.



--- one ---
Here is a relaxed Sr3ZrIn crystal from the Alexandria database. Energies are from PBE.

Cell: 6.0317 6.0317 6.0317 Å, 90.00 90.00 90.00°
Atoms (fractional coordinates):
Sr 0.0000 0.0000 0.5000
Sr 0.0000 0.5000 0.0000
Sr 0.5000 0.0000 0.0000
Zr 0.0000 0.0000 0.0000
In 0.5000 0.5000 0.5000

Summary:
The symmetry is No. 221. The calculation puts the magnetization at 0.0000 μB per atom. As for the crystal system: cubic. The calculation puts the density at 3.548 Mg/m³.



--- two ---
Here is a relaxed Sr3ZrIn crystal from the Alexandria database. Energies are from PBE.

Cell: 6.2477 6.2477 6.2477 Å, 90.00 90.00 90.00°
Atoms (fractional coordinates):
Sr 0.0000 0.0000 0.5000
Sr 0.0000 0.5000 0.0000
Sr 0.5000 0.0000 0.0000
Zr 0.5000 0.5000 0.5000
In 0.0000 0.0000 0.0000

Summary:
The symmetry is No. 221. The calculation puts the magnetization at 0.5972 μB per atom. As for the crystal system: cubic. The calculation puts the density at 3.193 Mg/m³.



Result of the stability comparison: one is the least stable of them.



--- one ---
Here is a relaxed SrZr3In crystal from the Alexandria database. Energies are from PBE.

Cell: 5.1735 5.1735 5.1735 Å, 90.00 90.00 90.00°
Atoms (fractional coordinates):
Sr 0.0000 0.0000 0.0000
Zr 0.0000 0.0000 0.5000
Zr 0.0000 0.5000 0.0000
Zr 0.5000 0.0000 0.0000
In 0.5000 0.5000 0.5000

Summary:
The symmetry is No. 221. The calculation puts the magnetization at 0.2310 μB per atom. As for the crystal system: cubic. The calculation puts the density at 5.709 Mg/m³.



--- two ---
Here is a relaxed SrZr3In crystal from the Alexandria database. Energies are from PBE.

Cell: 5.4687 5.4687 5.4687 Å, 90.00 90.00 90.00°
Atoms (fractional coordinates):
Sr 0.0000 0.0000 0.0000
Zr 0.0000 0.5000 0.5000
Zr 0.5000 0.0000 0.5000
Zr 0.5000 0.5000 0.0000
In 0.5000 0.5000 0.5000

Summary:
The symmetry is No. 221. The calculation puts the magnetization at 0.4491 μB per atom. As for the crystal system: cubic. The calculation puts the density at 4.834 Mg/m³.



Result of the stability comparison: one is the least stable of them.



--- one ---
Here is a relaxed Ta4In crystal from the Alexandria database. Energies are from PBE.

Cell: 7.2746 7.2746 2.9083 Å, 96.38 96.38 38.28°
Atoms (fractional coordinates):
Ta 0.1041 0.1041 0.4229
Ta 0.2928 0.2928 0.1940
Ta 0.7072 0.7072 0.8060
Ta 0.8959 0.8959 0.5771
In 0.5000 0.5000 0.0000

Summary:
The symmetry is No. 12. The calculation puts the magnetization at 0.0000 μB per atom. As for the crystal system: monoclinic. The calculation puts the density at 14.707 Mg/m³.



--- two ---
Here is a relaxed Ta4In crystal from the Alexandria database. Energies are from PBE.

Cell: 4.9234 4.9234 4.9234 Å, 90.00 90.00 90.00°
Atoms (fractional coordinates):
Ta 0.0000 0.0000 0.0000
Ta 0.0000 0.5000 0.5000
Ta 0.5000 0.0000 0.5000
Ta 0.5000 0.5000 0.0000
In 0.5000 0.5000 0.5000

Summary:
The symmetry is No. 221. The calculation puts the magnetization at 0.0000 μB per atom. As for the crystal system: cubic. The calculation puts the density at 11.668 Mg/m³.



Result of the stability comparison: two is the least stable of them.



--- one ---
Here is a relaxed Ta4In crystal from the Alexandria database. Energies are from PBE.

Cell: 5.5046 5.5046 5.5046 Å, 95.80 95.80 142.94°
Atoms (fractional coordinates):
Ta 0.0970 0.3098 0.4068
Ta 0.3098 0.9030 0.2129
Ta 0.6902 0.0970 0.7871
Ta 0.9030 0.6902 0.5932
In 0.5000 0.5000 0.0000

Summary:
The symmetry is No. 87. The calculation puts the magnetization at 0.0000 μB per atom. As for the crystal system: tetragonal. The calculation puts the density at 14.610 Mg/m³.



--- two ---
Here is a relaxed Ta4In crystal from the Alexandria database. Energies are from PBE.

Cell: 5.3205 5.3205 5.3205 Å, 109.47 109.47 109.47°
Atoms (fractional coordinates):
Ta 0.0000 0.0000 0.5000
Ta 0.0000 0.5000 0.0000
Ta 0.5000 0.0000 0.0000
Ta 0.5000 0.5000 0.5000
In 0.0000 0.0000 0.0000

Summary:
The symmetry is No. 229. The calculation puts the magnetization at 0.0000 μB per atom. As for the crystal system: cubic. The calculation puts the density at 12.011 Mg/m³.



Result of the stability comparison: two is the least stable of them.



--- one ---
Here is a relaxed TaIn5 crystal from the Alexandria database. Energies are from PBE.

Cell: 5.1170 8.8784 8.8784 Å, 20.58 90.00 90.00°
Atoms (fractional coordinates):
Ta 0.0000 0.0000 0.0000
In 0.0000 0.3452 0.3452
In 0.0000 0.6553 0.6553
In 0.5000 0.1088 0.1088
In 0.5000 0.4585 0.4585
In 0.5000 0.7737 0.7737

Summary:
The symmetry is No. 38. The calculation puts the magnetization at 0.0000 μB per atom. As for the crystal system: orthorhombic. The calculation puts the density at 8.844 Mg/m³.



--- two ---
Here is a relaxed TaIn5 crystal from the Alexandria database. Energies are from PBE.

Cell: 6.1191 6.1191 7.9987 Å, 111.29 111.29 30.50°
Atoms (fractional coordinates):
Ta 0.0000 0.0000 0.0000
In 0.0267 0.0267 0.6241
In 0.3122 0.3122 0.7105
In 0.4223 0.4223 0.2628
In 0.6957 0.6957 0.3423
In 0.7111 0.7111 0.9685

Summary:
The symmetry is No. 8. The calculation puts the magnetization at 0.0000 μB per atom. As for the crystal system: monoclinic. The calculation puts the density at 8.902 Mg/m³.



--- three ---
Here is a relaxed TaIn5 crystal from the Alexandria database. Energies are from PBE.

Cell: 5.5022 5.5022 5.3759 Å, 90.00 90.00 120.00°
Atoms (fractional coordinates):
Ta 0.0000 0.0000 0.0000
In 0.0000 0.6840 0.5000
In 0.3160 0.3160 0.5000
In 0.3333 0.6667 0.0000
In 0.6667 0.3333 0.0000
In 0.6840 0.0000 0.5000

Summary:
The symmetry is No. 189. The calculation puts the magnetization at 0.2679 μB per atom. As for the crystal system: hexagonal. The calculation puts the density at 8.895 Mg/m³.



Result of the stability comparison: three is the least stable of them.



--- one ---
Here is a relaxed Ta5In3 crystal from the Alexandria database. Energies are from PBE.

Cell: 8.2678 8.2678 5.3672 Å, 90.00 90.00 120.00°
Atoms (fractional coordinates):
Ta 0.0000 0.2041 0.2500
Ta 0.0000 0.7959 0.7500
Ta 0.2041 0.0000 0.2500
Ta 0.2041 0.2041 0.7500
Ta 0.3333 0.6667 0.0000
Ta 0.3333 0.6667 0.5000
Ta 0.6667 0.3333 0.0000
Ta 0.6667 0.3333 0.5000
Ta 0.7959 0.0000 0.7500
Ta 0.7959 0.7959 0.2500
In 0.0000 0.4051 0.7500
In 0.0000 0.5949 0.2500
In 0.4051 0.0000 0.7500
In 0.4051 0.4051 0.2500
In 0.5949 0.0000 0.2500
In 0.5949 0.5949 0.7500

Summary:
The symmetry is No. 193. The calculation puts the magnetization at 0.0000 μB per atom. As for the crystal system: hexagonal. The calculation puts the density at 13.057 Mg/m³.



--- two ---
Here is a relaxed Ta5In3 crystal from the Alexandria database. Energies are from PBE.

Cell: 6.3840 6.3840 3.7785 Å, 90.00 90.00 90.08°
Atoms (fractional coordinates):
Ta 0.0000 0.0000 0.0000
Ta 0.0000 0.5000 0.0000
Ta 0.2440 0.7560 0.5000
Ta 0.5000 0.0000 0.0000
Ta 0.7560 0.2440 0.5000
In 0.2457 0.2457 0.5000
In 0.5000 0.5000 0.0000
In 0.7543 0.7543 0.5000

Summary:
The symmetry is No. 65. The calculation puts the magnetization at 0.0000 μB per atom. As for the crystal system: orthorhombic. The calculation puts the density at 13.470 Mg/m³.



Result of the stability comparison: one is the least stable of them.